1.
# GGA-PBE La2ReAgO8, optimized geometry
data_La2ReAgO8
_chemical_formula_sum 'La2 Re1 Ag1 O8'
_cell_length_a 4.403
_cell_length_b 5.454
_cell_length_c 7.131
_cell_angle_alpha 83.21
_cell_angle_beta 86.13
_cell_angle_gamma 83.24
_space_group_name_H-M_alt 'P -1'
_space_group_IT_number 2
loop_
_space_group_symop_operation_xyz
'x,y,z'
'-x,-y,-z'
loop_
_atom_site_label
_atom_site_type_symbol
_atom_site_fract_x
_atom_site_fract_y
_atom_site_fract_z
La1 La 0.176 0.013 0.241
Re1 Re 0.500 0.500 0.500
Ag1 Ag 0.500 0.500 0.000
O1 O 0.194 0.758 0.547
O2 O 0.271 0.843 0.947
O3 O 0.294 0.263 0.647
O4 O 0.296 0.451 0.267
# ΔE_f (raw) in kJ per mole of atoms: -195.3

---

2.
# GGA-PBE La2AgRhO6, optimized geometry
data_La2AgRhO6
_chemical_formula_sum 'La6 Ag3 Rh3 O18'
_cell_length_a 5.8920
_cell_length_b 5.8920
_cell_length_c 14.3137
_cell_angle_alpha 90.00
_cell_angle_beta 90.00
_cell_angle_gamma 120.00
_space_group_name_H-M_alt 'R 3'
_space_group_IT_number 146
_space_group_name_Hall 'R 3'
loop_
_atom_site_label
_atom_site_type_symbol
_atom_site_fract_x
_atom_site_fract_y
_atom_site_fract_z
La1 La 0.0000 0.0000 0.0000
La2 La 0.0000 0.0000 0.4961
Ag1 Ag 0.0000 0.0000 0.2619
Rh1 Rh 0.0000 0.0000 0.7756
O1 O 0.0284 0.7463 0.8637
O2 O 0.0688 0.3452 0.3725
# ΔE_f (raw) in kJ per mole of atoms: -185.8

---

3.
# GGA-PBE LaAgS2O, optimized geometry
data_LaAgS2O
_chemical_formula_sum 'La1 Ag1 S2 O1'
_cell_length_a 4.455
_cell_length_b 4.455
_cell_length_c 6.409
_cell_angle_alpha 90.00
_cell_angle_beta 90.00
_cell_angle_gamma 90.00
_space_group_name_H-M_alt 'P 4/m m m'
_space_group_IT_number 123
_space_group_name_Hall '-P 4 2'
loop_
_atom_site_label
_atom_site_type_symbol
_atom_site_fract_x
_atom_site_fract_y
_atom_site_fract_z
La1 La 0.000 0.000 0.000
Ag1 Ag 0.000 0.000 0.500
S1 S 0.000 0.500 0.500
O1 O 0.500 0.500 0.000
# ΔE_f (raw) in kJ per mole of atoms: 0.5